(1)
A relaxed structure of CuHgPb, computed with GGA-PBE.

Calculated values
- Density of states at the Fermi level: 0.494 states/eV/atom
- Total magnetization: 0.00 Bohr magnetons per cell
- Symmetry: F-43m, No. 216
- Formation energy: 0.1442 eV per atom
- E_tot: -2.558 eV per atom
- Distance to the lowest polymorph of the same formula: 30 meV/atom

Geometry as CIF:
```
data_CuHgPb
_symmetry_space_group_name_H-M 'P 1'
_symmetry_Int_Tables_number 1
_cell_length_a 4.644
_cell_length_b 4.644
_cell_length_c 4.644
_cell_angle_alpha 60.00
_cell_angle_beta 60.00
_cell_angle_gamma 60.00
loop_
_symmetry_equiv_pos_as_xyz
'x,y,z'
loop_
_atom_site_label
_atom_site_fract_x
_atom_site_fract_y
_atom_site_fract_z
Cu1 0.750 0.750 0.750
Hg1 0.000 0.000 0.000
Pb1 0.500 0.500 0.500
```

=====

(2)
A relaxed structure of KAs2Cl, computed with GGA-PBE.

Calculated values
- Formation energy (no corrections): -0.659 eV per atom
- Density of states at the Fermi level: 0.126 states/eV/atom
- Total magnetization: 0.00 Bohr magnetons per cell
- Symmetry: Pm, No. 6
- E_tot: -3.720 eV per atom
- Distance to the lowest polymorph of the same formula: 42 meV/atom

Geometry as CIF:
```
data_KAs2Cl
_symmetry_space_group_name_H-M 'P 1'
_symmetry_Int_Tables_number 1
_cell_length_a 3.640
_cell_length_b 4.590
_cell_length_c 9.317
_cell_angle_alpha 53.99
_cell_angle_beta 90.00
_cell_angle_gamma 90.00
loop_
_symmetry_equiv_pos_as_xyz
'x,y,z'
loop_
_atom_site_label
_atom_site_fract_x
_atom_site_fract_y
_atom_site_fract_z
As1 0.000 0.888 0.066
As2 0.500 0.056 0.175
K1 0.500 0.093 0.574
Cl1 0.000 0.463 0.684
```

=====

(3)
A relaxed structure of Pm6HoMg5, computed with GGA-PBE.

Calculated values
- Density of states at the Fermi level: 1.127 states/eV/atom
- Total magnetization: 0.00 Bohr magnetons per cell
- Symmetry: P2/m, No. 10
- Formation energy: -0.0562 eV per atom
- E_tot: -3.477 eV per atom

Geometry as CIF:
```
data_Pm6HoMg5
_symmetry_space_group_name_H-M 'P 1'
_symmetry_Int_Tables_number 1
_cell_length_a 5.495
_cell_length_b 7.773
_cell_length_c 8.747
_cell_angle_alpha 90.00
_cell_angle_beta 108.25
_cell_angle_gamma 90.00
loop_
_symmetry_equiv_pos_as_xyz
'x,y,z'
loop_
_atom_site_label
_atom_site_fract_x
_atom_site_fract_y
_atom_site_fract_z
Mg1 0.664 0.500 0.334
Mg2 0.341 0.000 0.677
Mg3 0.000 0.500 0.000
Mg4 0.659 0.000 0.323
Mg5 0.336 0.500 0.666
Ho1 0.000 0.000 0.000
Pm1 0.832 0.748 0.660
Pm2 0.832 0.252 0.660
Pm3 0.500 0.261 0.000
Pm4 0.500 0.739 0.000
Pm5 0.168 0.748 0.340
Pm6 0.168 0.252 0.340
```